1.
Compound: TbDy3Rh
Source: Alexandria via LeMat-Bulk
Functional: PBE
Structure: optimized geometry

Results
Polymorph energy (0 for the lowest one), meV per atom: 170
Theoretical density, g/cm³: 7.9
E_form, meV per atom: -217
Calculated total energy, eV per atom: -5.374

a = 5.4034 Å, b = 5.4034 Å, c = 5.4034 Å
α = 90.00°, β = 90.00°, γ = 90.00°
Last column: nearest neighbours and their distance in Å.
Space group Pm-3m (No. 221)
One atom of each set of equivalent atoms:
Tb1 0.0000 0.0000 0.0000 [1 per cell]  12 Dy 3.82
Dy1 0.0000 0.5000 0.5000 [3 per cell]  2 Rh 2.70
Rh1 0.5000 0.5000 0.5000 [1 per cell]  6 Dy 2.70

---

2.
Compound: LaMn2Tc
Source: Alexandria via LeMat-Bulk
Functional: PBE
Structure: optimized geometry

Results
Polymorph energy (0 for the lowest one), meV per atom: 460
Theoretical density, g/cm³: 8.2
E_form, meV per atom: 652
Calculated total energy, eV per atom: -7.756

a = 2.9255 Å, b = 2.9255 Å, c = 28.4352 Å
α = 90.00°, β = 90.00°, γ = 120.00°
Last column: nearest neighbours and their distance in Å.
Space group R3m (No. 160, hexagonal axes)
One atom of each set of equivalent atoms:
La1 0.0000 0.0000 0.0000 [3 per cell]  6 La 2.93, 3 Tc 3.24
Mn1 0.0000 0.0000 0.2324 [3 per cell]  9 Mn 2.62-2.93
Mn2 0.0000 0.0000 0.4952 [3 per cell]  3 Tc 2.50, 3 Mn 2.62
Tc1 0.0000 0.0000 0.7638 [3 per cell]  3 Mn 2.50

---

3.
Compound: ZrAlHg2
Source: Alexandria via LeMat-Bulk
Functional: PBE
Structure: optimized geometry

Results
Theoretical density, g/cm³: 10.2
E_form, meV per atom: -27
Calculated total energy, eV per atom: -3.251

a = 11.3980 Å, b = 2.9994 Å, c = 5.5716 Å
α = 90.00°, β = 117.62°, γ = 90.00°
Last column: nearest neighbours and their distance in Å.
Space group Cm (No. 8)
One atom of each set of equivalent atoms:
Zr1 0.0000 0.0000 0.0000 [2 per cell]  2 Zr 3.00, 3 Al 3.01-3.11, 7 Hg 3.10-3.21
Al1 0.2396 0.5000 0.0528 [2 per cell]  2 Al 3.00, 3 Zr 3.01-3.11, 7 Hg 3.10-3.24
Hg1 0.2513 0.0000 0.5782 [2 per cell]  5 Hg 3.00-3.15, 4 Al 3.10-3.24, 3 Zr 3.10-3.17
Hg2 0.4902 0.0000 0.4817 [2 per cell]  5 Hg 3.00-3.15, 4 Zr 3.12-3.21, 3 Al 3.13

---

4.
Compound: MnIn2Fe
Source: Alexandria via LeMat-Bulk
Functional: PBE
Structure: optimized geometry

Results
Theoretical density, g/cm³: 7.4
E_form, meV per atom: 569
Calculated total energy, eV per atom: -5.208

a = 7.3094 Å, b = 7.3094 Å, c = 5.7022 Å
α = 90.00°, β = 90.00°, γ = 90.00°
Last column: nearest neighbours and their distance in Å.
Space group I-42d (No. 122)
One atom of each set of equivalent atoms:
Mn1 0.0000 0.0000 0.0000 [4 per cell]  4 In 2.73, 2 Fe 2.85
In1 0.2404 0.2500 0.6250 [8 per cell]  2 Fe 2.63, 2 Mn 2.73, 2 In 2.85
Fe1 0.0000 0.0000 0.5000 [4 per cell]  4 In 2.63, 2 Mn 2.85

---

5.
Compound: Ta3GaAu
Source: Alexandria via LeMat-Bulk
Functional: PBE
Structure: optimized geometry

Results
Polymorph energy (0 for the lowest one), meV per atom: 0
Theoretical density, g/cm³: 13.0
E_form, meV per atom: 1160
Calculated total energy, eV per atom: -7.213

a = 4.6949 Å, b = 4.6949 Å, c = 4.6949 Å
α = 90.00°, β = 90.00°, γ = 90.00°
Last column: nearest neighbours and their distance in Å.
Space group Pm-3m (No. 221)
One atom of each set of equivalent atoms:
Ta1 0.0000 0.0000 0.5000 [3 per cell]  2 Ga 2.35
Ga1 0.0000 0.0000 0.0000 [1 per cell]  6 Ta 2.35
Au1 0.5000 0.5000 0.5000 [1 per cell]  12 Ta 3.32

---

6.
Compound: MoN
Source: Alexandria via LeMat-Bulk
Functional: PBE
Structure: optimized geometry

Results
E_form (uncorrected), eV per atom: -0.30
Theoretical density, g/cm³: 8.9
Calculated total energy, eV per atom: -9.874

a = 2.8798 Å, b = 2.8798 Å, c = 2.8645 Å
α = 90.00°, β = 90.00°, γ = 120.00°
Last column: nearest neighbours and their distance in Å.
Space group P-6m2 (No. 187)
One atom of each set of equivalent atoms:
Mo1 0.0000 0.0000 0.0000 [1 per cell]  6 N 2.19
N1 0.6667 0.3333 0.5000 [1 per cell]  6 Mo 2.19